Record 1
Below is a geometry-optimized K2HfCdSe4 structure, with properties calculated at the GGA-PBE level.

```
8
Lattice="7.2887 0.0000 0.0000 0.0000 4.0268 0.0000 -2.5351 0.0000 7.5611" Properties=species:S:1:pos:R:3 pbc="T T T"
K 0.0000 0.0000 0.0000
K 3.6444 2.0134 0.0000
Hf -1.2676 2.0134 3.7806
Cd 2.3768 0.0000 3.7806
Se -0.2585 0.0000 5.3180
Se 1.0512 2.0134 2.3539
Se 3.7024 2.0134 5.2072
Se 5.0121 0.0000 2.2431
```

Values from the calculation:
Formation energy without anion corrections = -1.13 eV/atom
Symmetry = P2/m, No. 10
E = -4.502 eV/atom

Record 2
Below is a geometry-optimized NiSbAs2Se structure, with properties calculated at the GGA-PBE level.

```
5
Lattice="4.5975 0.0000 0.0000 0.0000 4.5975 0.0000 0.0000 0.0000 4.9751" Properties=species:S:1:pos:R:3 pbc="T T T"
Ni 0.0000 0.0000 0.0000
Sb 2.2988 2.2988 2.4876
As 0.0000 2.2988 0.0000
As 2.2988 0.0000 0.0000
Se 0.0000 0.0000 2.4876
```

Values from the calculation:
Energy above the lowest structure with this stoichiometry = 0 kJ/mol of formula units
Formation energy without anion corrections = 0.34 eV/atom
Symmetry = P4/mmm, No. 123
E = -4.202 eV/atom
D(E_F) = 6.43 states/eV/cell

Record 3
Below is a geometry-optimized TbSm3Zn8 structure, with properties calculated at the GGA-PBE level.

```
12
Lattice="5.6280 0.0000 0.0000 -2.8140 4.8740 0.0000 0.0000 0.0000 8.6752" Properties=species:S:1:pos:R:3 pbc="T T T"
Tb 0.0000 0.0000 0.0000
Sm 0.0000 0.0000 3.3836
Sm 2.8140 1.6247 4.3223
Sm 2.8140 1.6247 7.7266
Zn -1.3952 2.4438 1.6809
Zn 0.0000 1.6250 6.0426
Zn -1.4067 4.0615 6.0426
Zn 0.0000 3.2494 3.8678
Zn 0.0000 3.2494 8.1884
Zn 1.3952 2.4438 1.6809
Zn 0.0000 4.8604 1.6809
Zn 1.4067 4.0615 6.0426
```

Values from the calculation:
Energy above the lowest structure with this stoichiometry = 17 kJ/mol of formula units
Symmetry = P3m1, No. 156
E = -2.729 eV/atom
D(E_F) = 6.87 states/eV/cell

Record 4
Below is a geometry-optimized Tb2Ho2Tm15 structure, with properties calculated at the GGA-PBE level.

```
19
Lattice="5.5127 3.1828 5.7863 -5.5127 3.1828 5.7863 0.0000 -6.3655 5.7863" Properties=species:S:1:pos:R:3 pbc="T T T"
Tb 0.0000 0.0000 3.0510
Tb 0.0000 0.0000 14.3079
Ho 0.0000 0.0000 6.9294
Ho 0.0000 0.0000 10.4295
Tm -2.7563 -1.5914 5.7863
Tm 0.0000 -3.2782 5.2849
Tm -2.8390 1.6391 5.2849
Tm -1.6583 -2.8722 8.6795
Tm -3.3165 0.0000 8.6795
Tm -2.8390 -1.6391 12.0741
Tm -2.7563 1.5914 11.5726
Tm 1.6583 -2.8722 8.6795
Tm 0.0000 3.1827 5.7863
Tm -1.6583 2.8722 8.6795
Tm 2.8390 1.6391 5.2849
Tm 3.3165 0.0000 8.6795
Tm 1.6583 2.8722 8.6795
Tm 2.8390 -1.6391 12.0740
Tm 0.0000 3.2782 12.0740
```

Values from the calculation:
Symmetry = R-3m, No. 166
E = -4.209 eV/atom
D(E_F) = 34.13 states/eV/cell